Entry 1:
The following is a PBE calculation of a geometry-optimized YGa2Pd structure, from the Alexandria database.

The structure in POSCAR format:
```
YGa2Pd
1.0
0.000 3.329 3.329
3.329 0.000 3.329
3.329 3.329 0.000
Y Ga Pd
1 2 1
direct
0.000 0.000 0.000
0.250 0.250 0.250
0.750 0.750 0.750
0.500 0.500 0.500
```

N(E_F) = 2.8 states/eV/f.u.
ΔE_f = -0.601 eV per atom

---

Entry 2:
The following is a PBE calculation of a geometry-optimized Y2GaPd structure, from the Alexandria database.

The structure in POSCAR format:
```
Y2GaPd
1.0
3.524 0.000 0.000
0.000 3.524 0.000
0.000 0.000 7.217
Y Ga Pd
2 1 1
direct
0.000 0.000 0.243
0.000 0.000 0.757
0.500 0.500 0.500
0.500 0.500 0.000
```

N(E_F) = 2.7 states/eV/f.u.
ΔE_f = -0.739 eV per atom

---

Entry 3:
The following is a PBE calculation of a geometry-optimized YGaPd2 structure, from the Alexandria database.

The structure in POSCAR format:
```
YGaPd2
1.0
3.391 0.000 0.000
0.000 3.391 0.000
0.000 0.000 6.396
Y Ga Pd
1 1 2
direct
0.000 0.000 0.000
0.000 0.000 0.500
0.500 0.500 0.282
0.500 0.500 0.718
```

N(E_F) = 1.3 states/eV/f.u.
ΔE_f = -0.713 eV per atom

---

Entry 4:
The following is a PBE calculation of a geometry-optimized YGa2Pd7 structure, from the Alexandria database.

The structure in POSCAR format:
```
YGa2Pd7
1.0
3.663 -6.086 0.000
3.663 6.086 0.000
0.000 0.000 4.531
Y Ga Pd
1 2 7
direct
0.000 0.000 0.000
0.300 0.700 0.500
0.700 0.300 0.500
0.068 0.308 0.500
0.227 0.773 0.000
0.308 0.068 0.500
0.500 0.500 0.500
0.692 0.932 0.500
0.773 0.227 0.000
0.932 0.692 0.500
```

distance to the lowest polymorph of the same formula = 0.361 eV per atom
N(E_F) = 4.2 states/eV/f.u.
ΔE_f = -0.295 eV per atom

---

Entry 5:
The following is a PBE calculation of a geometry-optimized YGa2Pd structure, from the Alexandria database.

The structure in POSCAR format:
```
YGa2Pd
1.0
2.138 1.235 4.947
-2.138 1.235 4.947
0.000 -2.469 4.947
Y Ga Pd
1 2 1
direct
0.000 0.000 0.000
0.218 0.218 0.218
0.782 0.782 0.782
0.500 0.500 0.500
```

N(E_F) = 1.9 states/eV/f.u.
ΔE_f = -0.721 eV per atom

---

Entry 6:
The following is a PBE calculation of a geometry-optimized Y3Ga5Pd6 structure, from the Alexandria database.

The structure in POSCAR format:
```
Y3Ga5Pd6
1.0
4.350 0.000 0.000
0.000 13.138 0.000
0.000 0.000 8.956
Y Ga Pd
6 10 12
direct
0.250 0.053 0.244
0.250 0.447 0.244
0.250 0.750 0.239
0.750 0.250 0.761
0.750 0.553 0.756
0.750 0.947 0.756
0.250 0.090 0.877
0.250 0.410 0.877
0.250 0.630 0.532
0.250 0.750 0.782
0.250 0.870 0.532
0.750 0.130 0.468
0.750 0.250 0.218
0.750 0.370 0.468
0.750 0.590 0.123
0.750 0.910 0.123
0.250 0.064 0.595
0.250 0.250 0.047
0.250 0.250 0.422
0.250 0.436 0.595
0.250 0.603 0.977
0.250 0.897 0.977
0.750 0.103 0.023
0.750 0.397 0.023
0.750 0.564 0.405
0.750 0.750 0.578
0.750 0.750 0.953
0.750 0.936 0.405
```

N(E_F) = 7.3 states/eV/f.u.
ΔE_f = -0.828 eV per atom